(1)
# PBEsol PbSN2, optimized geometry
data_PbSN2
_cell_length_a 5.258
_cell_length_b 5.258
_cell_length_c 8.808
_cell_angle_alpha 90.00
_cell_angle_beta 90.00
_cell_angle_gamma 90.00
_space_group_name_H-M_alt 'I -4 2 d'
_space_group_IT_number 122
_space_group_name_Hall 'I -4 2bw'
loop_
_atom_site_label
_atom_site_fract_x
_atom_site_fract_y
_atom_site_fract_z
Pb1 0.000 0.000 0.000
S1 0.000 0.000 0.500
N1 0.119 0.750 0.625
# Raw formation energy in eV/atom: 1.09
# Electronic total energy in eV/cell: -84.3
# Density of states at the Fermi level in states/eV/f.u.: 1.19
# Size of the total moment in μB per cell: 0.00

***

(2)
# PBEsol Pb3SN, optimized geometry
data_Pb3SN
_cell_length_a 4.961
_cell_length_b 4.961
_cell_length_c 4.961
_cell_angle_alpha 90.00
_cell_angle_beta 90.00
_cell_angle_gamma 90.00
_space_group_name_H-M_alt 'P m -3 m'
_space_group_IT_number 221
_space_group_name_Hall '-P 4 2 3'
loop_
_atom_site_label
_atom_site_fract_x
_atom_site_fract_y
_atom_site_fract_z
Pb1 0.000 0.000 0.500
S1 0.500 0.500 0.500
N1 0.000 0.000 0.000
# Raw formation energy in eV/atom: 0.43
# Electronic total energy in eV/cell: -22.7
# Density of states at the Fermi level in states/eV/f.u.: 2.16
# Size of the total moment in μB per cell: 0.00